Entry 1:
LaNd4Os after structural relaxation. Source: Alexandria, functional PBE.

Computed properties:
- V: 32.66 Å³/atom
- E_form: 0.0211 eV per atom
- Magnetization: 0.000 μB/atom

Cell lengths 17.7585, 7.8360, 5.9532 Å; angles 90.00, 108.88, 90.00 degrees
With the nearest neighbours (Å) after each atom.
Space group C2/m (No. 12)
Unique sites:
La 0.1977 0.0000 0.2034 x4  12 Nd 3.67-3.96
Nd 0.0000 0.2061 0.0000 x4  2 Os 2.87
Nd 0.1188 0.2464 0.6228 x8  2 Os 3.01-3.17
Nd 0.1628 0.5000 0.1643 x4  2 Os 3.17-3.27
Os 0.0052 0.5000 0.7188 x4  1 Os 2.55

***

Entry 2:
Dy4TlS2 after structural relaxation. Source: Alexandria, functional PBE.

Computed properties:
- V: 25.55 Å³/atom
- Raw formation energy: -1.2191 eV/atom
- Magnetization: 0.019 μB/atom

Cell lengths 3.8069, 3.8069, 42.7562 Å; angles 90.00, 90.00, 120.00 degrees
With the nearest neighbours (Å) after each atom.
Space group R-3m (No. 166, hexagonal axes)
Unique sites:
Dy 0.0000 0.0000 0.1324 x6  3 S 2.76
Dy 0.0000 0.0000 0.2771 x6  3 S 2.71
Tl 0.0000 0.0000 0.0000 x3  6 Dy 3.26
S 0.0000 0.0000 0.4267 x6  6 Dy 2.71-2.76

***

Entry 3:
Th4AuCSe2 after structural relaxation. Source: Alexandria, functional PBE.

Computed properties:
- V: 25.56 Å³/atom
- Raw formation energy: -0.9668 eV/atom
- Magnetization: 0.000 μB/atom

Cell lengths 7.2904, 4.0191, 7.3360 Å; angles 90.00, 107.96, 90.00 degrees
With the nearest neighbours (Å) after each atom.
Space group P2/m (No. 10)
Unique sites:
Th 0.2124 0.0000 0.2098 x2  2 C 2.71, 1 Se 2.96, 1 Au 2.99
Th 0.2288 0.5000 0.7750 x2  1 C 2.68, 2 Se 2.94, 2 Au 2.97
Au 0.0000 0.0000 0.5000 x1  6 Th 2.97-2.99
C 0.0000 0.5000 0.0000 x1  6 Th 2.68-2.71
Se 0.5000 0.0000 0.0000 x1  6 Th 2.94-2.96
Se 0.5000 0.5000 0.5000 x1  6 Th 3.20-3.23